{
  "formula": "PtC2Br",
  "functional": "PBE",
  "state": "relaxed",
  "lattice": [[3.6123, 2.0186, -0.0439], [0.5495, 3.3111, 2.4207], [2.5336, -0.2211, 3.2646]],
  "species": ["C", "C", "Br", "Pt"],
  "fractional_positions": [[0.2500, 0.2500, 0.2500], [0.7500, 0.7500, 0.7500], [0.0000, 0.0000, 0.0000], [0.5000, 0.5000, 0.5000]],
  "raw_formation_energy_ev_per_atom": 2.7997,
  "vol_a3_per_atom": 12.53,
  "relative_energy_mev_per_atom": 1123,
  "spacegroup": "Fm-3m",
  "magmom_total_mub_per_cell": 0.000
}